[1]
LiInGaCl5 after structural relaxation. Source: the Alexandria database, functional GGA-PBE.

Output
Uncorrected formation energy   -1.233 eV/atom
V   29.1 Å³/atom

Unit cell a=9.372 b=11.935 c=8.888 alpha=90.00 beta=110.70 gamma=90.00
Space group C2/c (No. 15)
Asymmetric unit:
Li1 0.000 0.000 0.000
In1 0.000 0.304 0.250
Ga1 0.000 0.323 0.750
Cl1 0.000 0.065 0.250
Cl2 0.117 0.213 0.626
Cl3 0.167 0.424 0.935



[2]
LiInGa2Cl8 after structural relaxation. Source: the Alexandria database, functional GGA-PBE.

Output
Uncorrected formation energy   -1.213 eV/atom
V   27.8 Å³/atom

Unit cell a=6.4622 b=6.4622 c=9.2088 alpha=90.00 beta=90.00 gamma=120.00
Space group P-3 (No. 147)
Asymmetric unit:
Li1 0.0000 0.0000 0.0000
In1 0.0000 0.0000 0.5000
Ga1 0.3333 0.6667 0.2454
Cl1 0.0192 0.3294 0.1741
Cl2 0.3333 0.6667 0.4842



[3]
Li2InGaCl6 after structural relaxation. Source: the Alexandria database, functional GGA-PBE.

Output
Uncorrected formation energy   -1.280 eV/atom
V   24.2 Å³/atom

Unit cell a=6.7076 b=6.7076 c=18.6475 alpha=90.00 beta=90.00 gamma=120.00
Space group R3 (No. 146, hexagonal axes)
Asymmetric unit:
Li1 0.0000 0.0000 0.0000
Li2 0.0000 0.0000 0.4884
In1 0.0000 0.0000 0.8031
Ga1 0.0000 0.0000 0.2875
Cl1 0.0010 0.3279 0.7335
Cl2 0.0659 0.7182 0.5576



[4]
MgInGaCl6 after structural relaxation. Source: the Alexandria database, functional GGA-PBE.

Output
Uncorrected formation energy   -1.272 eV/atom
V   28.3 Å³/atom

Unit cell a=6.4258 b=6.4258 c=7.1231 alpha=90.00 beta=90.00 gamma=120.00
Space group P312 (No. 149)
Asymmetric unit:
Mg1 0.0000 0.0000 0.0000
In1 0.6667 0.3333 0.5000
Ga1 0.3333 0.6667 0.0000
Cl1 0.0437 0.3471 0.1953



[5]
MnInGa2Cl after structural relaxation. Source: the Alexandria database, functional GGA-PBE.

Output
Uncorrected formation energy   0.454 eV/atom
V   30.6 Å³/atom

Unit cell a=5.356 b=5.356 c=5.335 alpha=90.00 beta=90.00 gamma=90.00
Space group P4/mmm (No. 123)
Asymmetric unit:
Mn1 0.000 0.000 0.000
In1 0.000 0.000 0.500
Ga1 0.000 0.500 0.500
Cl1 0.500 0.500 0.000



[6]
NaInGaCl6 after structural relaxation. Source: the Alexandria database, functional GGA-PBE.

Output
Uncorrected formation energy   -1.101 eV/atom
V   25.3 Å³/atom

Unit cell a=6.6337 b=6.6337 c=5.9713 alpha=90.00 beta=90.00 gamma=120.00
Space group P312 (No. 149)
Asymmetric unit:
Na1 0.0000 0.0000 0.0000
In1 0.6667 0.3333 0.5000
Ga1 0.3333 0.6667 0.0000
Cl1 0.0302 0.3707 0.2352



[7]
NaInGa2Cl4 after structural relaxation. Source: the Alexandria database, functional GGA-PBE.

Output
Uncorrected formation energy   -0.969 eV/atom
V   28.5 Å³/atom

Unit cell a=7.433 b=4.296 c=7.551 alpha=90.00 beta=109.23 gamma=90.00
Space group P2/m (No. 10)
Asymmetric unit:
Na1 0.000 0.000 0.000
In1 0.000 0.500 0.500
Ga1 0.500 0.000 0.500
Ga2 0.500 0.500 0.000
Cl1 0.243 0.500 0.233
Cl2 0.252 0.000 0.770



[8]
InGa2NiCl after structural relaxation. Source: the Alexandria database, functional GGA-PBE.

Output
Energy relative to the lowest polymorph listed for this composition   1.1439 eV per atom
Uncorrected formation energy   0.733 eV/atom
V   29.8 Å³/atom

Unit cell a=5.182 b=5.182 c=5.539 alpha=90.00 beta=90.00 gamma=90.00
Space group P4/mmm (No. 123)
Asymmetric unit:
In1 0.000 0.000 0.000
Ga1 0.000 0.500 0.500
Ni1 0.500 0.500 0.000
Cl1 0.000 0.000 0.500



[9]
InGa2NiCl after structural relaxation. Source: the Alexandria database, functional GGA-PBE.

Output
Energy relative to the lowest polymorph listed for this composition   0.0000 eV per atom
Uncorrected formation energy   -0.411 eV/atom
V   21.6 Å³/atom

Unit cell a=4.619 b=4.619 c=5.061 alpha=90.00 beta=90.00 gamma=90.00
Space group P4/mmm (No. 123)
Asymmetric unit:
In1 0.000 0.000 0.000
Ga1 0.000 0.500 0.500
Ni1 0.000 0.000 0.500
Cl1 0.500 0.500 0.000



[10]
NpInGa2Cl6 after structural relaxation. Source: the Alexandria database, functional GGA-PBE.

Output
Uncorrected formation energy   -1.128 eV/atom
V   33.6 Å³/atom

Unit cell a=7.575 b=7.590 c=8.039 alpha=61.96 beta=61.94 gamma=60.12
Space group P1 (No. 1)
Asymmetric unit:
Np1 0.000 0.000 0.000
In1 0.490 0.491 0.528
Ga1 0.194 0.194 0.417
Ga2 0.690 0.691 0.928
Cl1 0.073 0.824 0.729
Cl2 0.255 0.643 0.207
Cl3 0.374 0.073 0.730
Cl4 0.643 0.895 0.207
Cl5 0.825 0.373 0.729
Cl6 0.895 0.254 0.208



[11]
NpInGaCl6 after structural relaxation. Source: the Alexandria database, functional GGA-PBE.

Output
Uncorrected formation energy   -1.275 eV/atom
V   35.0 Å³/atom

Unit cell a=6.940 b=6.940 c=13.096 alpha=90.00 beta=90.00 gamma=90.00
Space group P4_2nm (No. 102)
Asymmetric unit:
Np1 0.000 0.000 0.000
In1 0.000 0.000 0.336
Ga1 0.000 0.000 0.673
Cl1 0.177 0.177 0.848
Cl2 0.186 0.186 0.144
Cl3 0.234 0.234 0.504



[12]
InGaPCl2 after structural relaxation. Source: the Alexandria database, functional GGA-PBE.

Output
Energy relative to the lowest polymorph listed for this composition   0.1347 eV per atom
Uncorrected formation energy   -0.074 eV/atom
V   31.1 Å³/atom

Unit cell a=5.402 b=5.402 c=5.335 alpha=90.00 beta=90.00 gamma=90.00
Space group P4/mmm (No. 123)
Asymmetric unit:
In1 0.000 0.000 0.000
Ga1 0.500 0.500 0.500
P1 0.000 0.000 0.500
Cl1 0.000 0.500 0.000



Number 1: D(E_F) 0.0 states/eV per cell. Number 2: D(E_F) 0.0 states/eV per cell. Number 3: D(E_F) 0.0 states/eV per cell. Number 4: D(E_F) 0.0 states/eV per cell. Number 5: D(E_F) 5.0 states/eV per cell. Number 6: D(E_F) 2.7 states/eV per cell. Number 7: D(E_F) 0.0 states/eV per cell. Number 8: D(E_F) 2.2 states/eV per cell. Number 9: D(E_F) 0.9 states/eV per cell. Number 10: D(E_F) 5.1 states/eV per cell. Number 11: D(E_F) 5.9 states/eV per cell. Number 12: D(E_F) 3.2 states/eV per cell.